No. 1
ReBIO2: single point on PBEsol structure, SCAN.

Properties
Density of states at the Fermi level: 3.3 states/eV per cell
ΔE_f (raw): 3.92 kcal/mol of atoms
Size of the total moment: 0.6 μB per cell
Space group: P4/mmm, No. 123
Volume: 85.2 Å³/cell

a b c (Å): 3.743 3.743 6.080
angles (deg): 90.00 90.00 90.00
Each line ends with the local moment (μB).
Fractional coordinates of all 5 atoms:
Re1 0.000 0.000 0.000  0.15
I1 0.000 0.000 0.500  0.03
O1 0.000 0.500 0.000  0.01
O2 0.500 0.000 0.000  0.01
B1 0.500 0.500 0.500  0.12

=====

No. 2
TiBIO2: single point on PBEsol structure, SCAN.

Properties
Density of states at the Fermi level: 0.3 states/eV per cell
ΔE_f (raw): -17.12 kcal/mol of atoms
Size of the total moment: 0.0 μB per cell
Space group: P4/mmm, No. 123
Volume: 81.0 Å³/cell

a b c (Å): 3.759 3.759 5.734
angles (deg): 90.00 90.00 90.00
Fractional coordinates of all 5 atoms:
O1 0.000 0.500 0.000
O2 0.500 0.000 0.000
Ti1 0.000 0.000 0.000
B1 0.500 0.500 0.500
I1 0.000 0.000 0.500

=====

No. 3
TlBIO2: single point on PBEsol structure, SCAN.

Properties
Density of states at the Fermi level: 2.5 states/eV per cell
ΔE_f (raw): 21.89 kcal/mol of atoms
Size of the total moment: 0.5 μB per cell
Space group: P4/mmm, No. 123
Volume: 110.5 Å³/cell

a b c (Å): 4.064 4.064 6.689
angles (deg): 90.00 90.00 90.00
Each line ends with the local moment (μB).
Fractional coordinates of all 5 atoms:
O1 0.500 0.000 0.000  0.22
O2 0.000 0.500 0.000  0.22
I1 0.000 0.000 0.500  0.00
B1 0.500 0.500 0.500  0.00
Tl1 0.000 0.000 0.000  -0.02